(1)
18
Lattice="-4.709 4.826 5.247 4.709 -4.826 5.247 4.709 4.826 -5.247" Properties=species:S:1:pos:R:3 comment="Tb6AlPt2 | the Alexandria database | GGA-PBE | optimized geometry" formation_energy_ev_per_fu=-6.26 pbc="T T T"
Tb 4.709 2.945 -2.757
Tb 2.704 1.743 0.000
Tb 6.715 1.743 0.000
Tb 1.867 4.826 -1.778
Tb 2.842 0.000 3.469
Tb 0.000 1.882 2.490
Tb 4.709 2.945 2.757
Tb 1.867 4.826 1.778
Tb 2.842 0.000 7.025
Tb -2.006 3.084 5.247
Tb 2.006 3.084 5.247
Tb 0.000 1.882 8.004
Al 0.000 0.000 0.000
Al 0.000 0.000 5.247
Pt 4.709 0.000 1.412
Pt 0.000 3.231 0.000
Pt 0.000 6.422 0.000
Pt 0.000 4.826 3.835


(2)
10
Lattice="1.998 -14.469 0.000 1.998 14.469 0.000 0.000 0.000 4.746" Properties=species:S:1:pos:R:3 comment="AcLaAu3 | the Alexandria database | GGA-PBE | optimized geometry" formation_energy_ev_per_fu=-4.17 pbc="T T T"
Ac 1.998 12.384 3.559
Ac 1.998 -12.384 1.186
La 1.998 8.583 1.186
La 1.998 -8.583 3.559
Au 1.998 5.324 1.186
Au 1.998 3.512 3.559
Au 1.998 0.719 3.559
Au 1.998 -0.719 1.186
Au 1.998 -3.512 1.186
Au 1.998 -5.324 3.559


(3)
11
Lattice="4.114 -5.603 0.000 4.114 5.603 0.000 -0.179 0.000 7.733" Properties=species:S:1:pos:R:3 comment="Re2SeCl8 | the Alexandria database | GGA-PBE | optimized geometry" formation_energy_uncorrected_mev_per_atom=-468 pbc="T T T"
Re 0.777 0.000 1.753
Re 7.271 0.000 5.979
Se -0.090 0.000 3.866
Cl 3.212 3.316 6.230
Cl 1.273 0.000 7.061
Cl 4.837 3.316 1.503
Cl 3.002 0.000 2.260
Cl 5.047 0.000 5.473
Cl 3.212 -3.316 6.230
Cl 6.775 0.000 0.672
Cl 4.837 -3.316 1.503


Number 1: magnetic moment 0.000 μB per cell, electronic total energy -5.5401 eV/atom. Number 2: magnetic moment 0.000 μB per cell, electronic total energy -4.6080 eV/atom. Number 3: magnetic moment 0.899 μB per cell, electronic total energy -4.3909 eV/atom.